# Dy2CoBr

An optimized crystal structure of Dy2CoBr (GGA-PBE, Alexandria).

Calculated values
Raw formation energy ... -740 meV per atom
Distance to the lowest polymorph of the same formula ... 0 meV per atom

a = 3.8582 Å, b = 3.8582 Å, c = 22.7852 Å
α = 90.00°, β = 90.00°, γ = 120.00°
Space group R-3m (No. 166, hexagonal axes)
Unique sites:
Dy 0.0000 0.0000 0.2299 x6
Co 0.0000 0.0000 0.5000 x3
Br 0.0000 0.0000 0.0000 x3